{
  "formula": "SrIn4Ir",
  "functional": "GGA-PBEsol",
  "state": "optimized geometry",
  "volume_a3_per_cell": 281.4,
  "crystal_system": "orthorhombic",
  "magnetic_moment_mub_per_cell": 0.00,
  "formation_energy_mev_per_atom": -388.9,
  "total_energy_ev_per_atom": -4.321,
  "cell": [[-0.4121, 1.3932, -4.0509], [-7.3261, -1.9961, 0.0588], [-2.1093, 7.8273, 2.9066]],
  "species": ["In", "Ir", "In", "In", "Sr", "In", "In", "Sr", "Ir", "In", "In", "In"],
  "frac_coords": [[0.5000, 0.9410, 0.2500], [0.0000, 0.8078, 0.7500], [0.5000, 0.0590, 0.7500], [0.5000, 0.6893, 0.5656], [0.0000, 0.6069, 0.2500], [0.5000, 0.3107, 0.4344], [0.5000, 0.6893, 0.9344], [0.0000, 0.3931, 0.7500], [0.0000, 0.1922, 0.2500], [0.0000, 0.0000, 0.5000], [0.0000, 0.0000, 0.0000], [0.5000, 0.3107, 0.0656]]
}

---

{
  "formula": "Si2TcPb",
  "functional": "GGA-PBEsol",
  "state": "optimized geometry",
  "volume_a3_per_cell": 75.5,
  "crystal_system": "monoclinic",
  "magnetic_moment_mub_per_cell": 0.00,
  "raw_formation_energy_ev_per_atom": 0.114,
  "total_energy_ev_per_atom": -6.575,
  "cell": [[-1.5235, -1.7084, 2.2550], [0.7287, -2.3048, -3.5431], [5.2097, -0.7312, 2.9658]],
  "species": ["Si", "Pb", "Si", "Tc"],
  "frac_coords": [[0.2705, 0.5410, 0.3530], [0.5000, 0.0000, 0.0000], [0.7295, 0.4590, 0.6470], [0.0000, 0.0000, 0.5000]]
}

---

{
  "formula": "Sr2FeIr",
  "functional": "GGA-PBEsol",
  "state": "optimized geometry",
  "volume_a3_per_cell": 103.7,
  "crystal_system": "tetragonal",
  "magnetic_moment_mub_per_cell": 2.84,
  "formation_energy_mev_per_atom": 269.2,
  "total_energy_ev_per_atom": -5.348,
  "cell": [[-1.2605, -1.1399, 2.9817], [-1.3404, -2.7224, -1.6074], [7.4267, -4.4955, 1.4209]],
  "species": ["Sr", "Sr", "Ir", "Fe"],
  "frac_coords": [[0.0000, 0.0000, 0.0830], [0.5000, 0.5000, 0.6711], [0.5000, 0.5000, 0.3387], [0.0000, 0.0000, 0.4073]]
}

---

{
  "formula": "Na2CdO2",
  "functional": "GGA-PBEsol",
  "state": "optimized geometry",
  "volume_a3_per_cell": 615.1,
  "crystal_system": "monoclinic",
  "magnetic_moment_mub_per_cell": 0.15,
  "raw_formation_energy_ev_per_atom": -1.161,
  "total_energy_ev_per_atom": -4.060,
  "cell": [[-9.2039, 0.8101, 0.7263], [2.5721, -8.6878, 1.9500], [4.0308, 5.8319, 6.0056]],
  "species": ["O", "O", "Na", "Cd", "O", "O", "Cd", "O", "Cd", "O", "Na", "O", "O", "Na", "Na", "Na", "Cd", "Na", "Na", "O", "Na", "Na", "Na", "O", "Cd", "O", "O", "Cd", "O", "Na", "Cd", "Na", "Na", "O", "O", "Na", "Na", "O", "Na", "Cd"],
  "frac_coords": [[0.2394, 0.0158, 0.2635], [0.0010, 0.7629, 0.7600], [0.7841, 0.4953, 0.9832], [0.7689, 0.7495, 0.7875], [0.9605, 0.9957, 0.4526], [0.4853, 0.7419, 0.2411], [0.2679, 0.7846, 0.2499], [0.2537, 0.5340, 0.7913], [0.9563, 0.2163, 0.9863], [0.4540, 0.0049, 0.9570], [0.7275, 0.2046, 0.2208], [0.0479, 0.4970, 0.0430], [0.7523, 0.9759, 0.7365], [0.2197, 0.7274, 0.6995], [0.2237, 0.0150, 0.5257], [0.0389, 0.2873, 0.5270], [0.4781, 0.2761, 0.9993], [0.2889, 0.3049, 0.2968], [0.7603, 0.5119, 0.4730], [0.5007, 0.2442, 0.7589], [0.0081, 0.9920, 0.7032], [0.7256, 0.0216, 0.4786], [0.7282, 0.7105, 0.2538], [0.0029, 0.2410, 0.2400], [0.2768, 0.4788, 0.0007], [0.7296, 0.7296, 0.0000], [0.2214, 0.2214, 0.0000], [0.5348, 0.0181, 0.7501], [0.5430, 0.5079, 0.5474], [0.4893, 0.6980, 0.4743], [0.2300, 0.9700, 0.0137], [0.5121, 0.8009, 0.0168], [0.5430, 0.2470, 0.5214], [0.7427, 0.4624, 0.2087], [0.2893, 0.7893, 0.5000], [0.0279, 0.5202, 0.3005], [0.4566, 0.4744, 0.7462], [0.7838, 0.2838, 0.5000], [0.9839, 0.5067, 0.7792], [0.9620, 0.9814, 0.2125]]
}

---

{
  "formula": "K2TaOsAu",
  "functional": "GGA-PBEsol",
  "state": "optimized geometry",
  "volume_a3_per_cell": 174.7,
  "crystal_system": "tetragonal",
  "magnetic_moment_mub_per_cell": 0.00,
  "formation_energy_mev_per_atom": 1487.9,
  "total_energy_ev_per_atom": -4.704,
  "cell": [[4.6247, 0.0000, 0.0000], [0.0000, 6.1466, 0.0000], [0.0000, 0.0000, 6.1466]],
  "species": ["K", "Au", "K", "Ta", "Os"],
  "frac_coords": [[0.0000, 0.5000, 0.0000], [0.5000, 0.5000, 0.5000], [0.0000, 0.0000, 0.5000], [0.5000, 0.0000, 0.0000], [0.0000, 0.0000, 0.0000]]
}

---

{
  "formula": "YSc2",
  "functional": "GGA-PBEsol",
  "state": "optimized geometry",
  "volume_a3_per_cell": 76.8,
  "crystal_system": "trigonal",
  "magnetic_moment_mub_per_cell": 0.00,
  "formation_energy_mev_per_atom": 63.8,
  "relative_energy_mev_per_atom": 40.8,
  "total_energy_ev_per_atom": -6.614,
  "cell": [[-0.6499, -2.6202, 1.9330], [1.3993, -0.4408, -2.9787], [7.2925, 0.6478, 3.3299]],
  "species": ["Sc", "Sc", "Y"],
  "frac_coords": [[0.3333, 0.6667, 0.6577], [0.6667, 0.3333, 0.3423], [0.0000, 0.0000, 0.0000]]
}

---

{
  "formula": "MnFeAg2",
  "functional": "GGA-PBEsol",
  "state": "optimized geometry",
  "volume_a3_per_cell": 58.5,
  "crystal_system": "trigonal",
  "magnetic_moment_mub_per_cell": 6.33,
  "formation_energy_mev_per_atom": 466.2,
  "relative_energy_mev_per_atom": 16.9,
  "total_energy_ev_per_atom": -5.871,
  "cell": [[2.7302, 0.0000, 0.0000], [1.3651, 2.3644, 0.0000], [1.3651, 0.7881, 9.0589]],
  "species": ["Mn", "Ag", "Ag", "Fe"],
  "frac_coords": [[0.0000, 0.0000, 0.0000], [0.2492, 0.2492, 0.2525], [0.7508, 0.7508, 0.7475], [0.5000, 0.5000, 0.5000]]
}

---

{
  "formula": "AgMo2W",
  "functional": "GGA-PBEsol",
  "state": "optimized geometry",
  "volume_a3_per_cell": 63.0,
  "crystal_system": "monoclinic",
  "magnetic_moment_mub_per_cell": 0.00,
  "formation_energy_mev_per_atom": 392.5,
  "relative_energy_mev_per_atom": 0.0,
  "total_energy_ev_per_atom": -9.771,
  "cell": [[-1.9339, -1.6049, 0.8471], [2.6713, -1.6048, 3.0582], [-0.8189, 4.5427, 3.0992]],
  "species": ["Mo", "Mo", "W", "Ag"],
  "frac_coords": [[0.0411, 0.0000, 0.7636], [0.9589, 0.0000, 0.2364], [0.5000, 0.5000, 0.0000], [0.5000, 0.5000, 0.5000]]
}

---

{
  "formula": "Eu2ErTaO6",
  "functional": "GGA-PBEsol",
  "state": "optimized geometry",
  "volume_a3_per_cell": 140.8,
  "crystal_system": "cubic",
  "magnetic_moment_mub_per_cell": 14.00,
  "raw_formation_energy_ev_per_atom": -3.116,
  "total_energy_ev_per_atom": -10.126,
  "cell": [[-0.4352, 2.5962, 5.2118], [-4.3526, -1.4301, 3.6196], [1.1250, -3.0199, 4.8689]],
  "species": ["O", "O", "Er", "O", "Ta", "O", "O", "O", "Eu", "Eu"],
  "frac_coords": [[0.2609, 0.7391, 0.2609], [0.2609, 0.2609, 0.7391], [0.0000, 0.0000, 0.0000], [0.2609, 0.7391, 0.7391], [0.5000, 0.5000, 0.5000], [0.7391, 0.2609, 0.2609], [0.7391, 0.7391, 0.2609], [0.7391, 0.2609, 0.7391], [0.2500, 0.2500, 0.2500], [0.7500, 0.7500, 0.7500]]
}

---

{
  "formula": "SrBi2Pt",
  "functional": "GGA-PBEsol",
  "state": "optimized geometry",
  "volume_a3_per_cell": 227.5,
  "crystal_system": "tetragonal",
  "magnetic_moment_mub_per_cell": 0.00,
  "formation_energy_mev_per_atom": -498.2,
  "total_energy_ev_per_atom": -4.842,
  "cell": [[6.1490, 0.0000, 0.0000], [3.0745, 6.0831, 0.0000], [3.0745, 0.0000, 6.0831]],
  "species": ["Bi", "Bi", "Sr", "Sr", "Pt", "Bi", "Bi", "Pt"],
  "frac_coords": [[0.0555, 0.0695, 0.5695], [0.8750, 0.4305, 0.0695], [0.2500, 0.5000, 0.5000], [0.5000, 0.0000, 0.0000], [0.0000, 0.0000, 0.0000], [0.3750, 0.5695, 0.9305], [0.6945, 0.9305, 0.4305], [0.7500, 0.5000, 0.5000]]
}

---

{
  "formula": "SiHgPCl2",
  "functional": "GGA-PBEsol",
  "state": "optimized geometry",
  "volume_a3_per_cell": 101.4,
  "crystal_system": "tetragonal",
  "magnetic_moment_mub_per_cell": 0.00,
  "raw_formation_energy_ev_per_atom": 0.013,
  "total_energy_ev_per_atom": -3.211,
  "cell": [[4.5586, 0.0000, 0.0000], [0.0000, 4.5586, 0.0000], [0.0000, 0.0000, 4.8776]],
  "species": ["Cl", "Hg", "Si", "Cl", "P"],
  "frac_coords": [[0.5000, 0.0000, 0.0000], [0.5000, 0.5000, 0.5000], [0.0000, 0.0000, 0.0000], [0.0000, 0.5000, 0.0000], [0.0000, 0.0000, 0.5000]]
}